InNi2B2O6: relaxed, PBE+U.

a = 5.003 Å, b = 5.003 Å, c = 5.928 Å
α = 90.00°, β = 90.00°, γ = 120.00°
Element x y z (fractional)
In 0.000 0.000 0.000
Ni 0.333 0.667 0.332
Ni 0.667 0.333 0.668
B 0.333 0.667 0.775
B 0.667 0.333 0.225
O 0.062 0.678 0.773
O 0.322 0.383 0.773
O 0.383 0.062 0.227
O 0.617 0.938 0.773
O 0.678 0.617 0.227
O 0.938 0.322 0.227

Output
Raw total energy   -6.169 eV per atom
Symmetry   P-3, No. 147